Record 1
First-principles (SCAN) data for a PBEsol-optimized structure of Li5SbS, as listed in Alexandria via LeMat-Bulk.

Properties
- uncorrected formation energy (eV/atom) = -0.987
- M_tot (Bohr magnetons per cell) = 0.00
- offset from the most stable computed form (eV/f.u.) = 0.000
- crystal system = orthorhombic

Cell lengths 17.849, 5.869, 4.488 Å; angles 90.00, 90.00, 90.00 degrees
Fractional positions:
Li (0.053, 0.006, 0.250)
Li (0.053, 0.494, 0.250)
Li (0.160, 0.005, 0.749)
Li (0.160, 0.495, 0.749)
Li (0.216, 0.250, 0.249)
Li (0.284, 0.750, 0.749)
Li (0.340, 0.505, 0.249)
Li (0.340, 0.995, 0.249)
Li (0.447, 0.506, 0.750)
Li (0.447, 0.994, 0.750)
Li (0.553, 0.006, 0.250)
Li (0.553, 0.494, 0.250)
Li (0.660, 0.005, 0.751)
Li (0.660, 0.495, 0.751)
Li (0.716, 0.250, 0.251)
Li (0.784, 0.750, 0.751)
Li (0.840, 0.505, 0.251)
Li (0.840, 0.995, 0.251)
Li (0.947, 0.506, 0.750)
Li (0.947, 0.994, 0.750)
Sb (0.189, 0.750, 0.249)
Sb (0.311, 0.250, 0.749)
Sb (0.689, 0.750, 0.251)
Sb (0.811, 0.250, 0.751)
S (0.053, 0.250, 0.750)
S (0.447, 0.750, 0.250)
S (0.553, 0.250, 0.750)
S (0.947, 0.750, 0.250)

Record 2
First-principles (SCAN) data for a PBEsol-optimized structure of SiHgSbS2, as listed in Alexandria via LeMat-Bulk.

Properties
- uncorrected formation energy (eV/atom) = 0.255
- M_tot (Bohr magnetons per cell) = 0.00
- crystal system = tetragonal
- N(E_F) (states/eV per atom) = 0.61

Cell lengths 4.429, 4.429, 5.448 Å; angles 90.00, 90.00, 90.00 degrees
Fractional positions:
Si (0.000, 0.000, 0.000)
Hg (0.500, 0.500, 0.500)
Sb (0.000, 0.000, 0.500)
S (0.000, 0.500, 0.000)
S (0.500, 0.000, 0.000)

Record 3
First-principles (SCAN) data for a PBEsol-optimized structure of K2Hg3Ge2S8, as listed in Alexandria via LeMat-Bulk.

Properties
- uncorrected formation energy (eV/atom) = -0.620
- M_tot (Bohr magnetons per cell) = 0.00
- crystal system = orthorhombic
- N(E_F) (states/eV per atom) = 0.00

Cell lengths 19.201, 6.358, 6.358 Å; angles 98.23, 90.00, 90.00 degrees
Fractional positions:
K (0.116, 0.201, 0.799)
K (0.384, 0.701, 0.299)
K (0.616, 0.299, 0.701)
K (0.884, 0.799, 0.201)
Hg (0.000, 0.639, 0.639)
Hg (0.245, 0.255, 0.345)
Hg (0.255, 0.755, 0.845)
Hg (0.500, 0.139, 0.139)
Hg (0.745, 0.845, 0.755)
Hg (0.755, 0.345, 0.255)
Ge (0.135, 0.701, 0.280)
Ge (0.365, 0.201, 0.780)
Ge (0.635, 0.780, 0.201)
Ge (0.865, 0.280, 0.701)
S (0.038, 0.874, 0.408)
S (0.123, 0.363, 0.329)
S (0.132, 0.741, 0.936)
S (0.230, 0.843, 0.428)
S (0.270, 0.343, 0.928)
S (0.368, 0.241, 0.436)
S (0.377, 0.863, 0.829)
S (0.462, 0.374, 0.908)
S (0.538, 0.908, 0.374)
S (0.623, 0.829, 0.863)
S (0.632, 0.436, 0.241)
S (0.730, 0.928, 0.343)
S (0.770, 0.428, 0.843)
S (0.868, 0.936, 0.741)
S (0.877, 0.329, 0.363)
S (0.962, 0.408, 0.874)

Record 4
First-principles (SCAN) data for a PBEsol-optimized structure of AlRh5, as listed in Alexandria via LeMat-Bulk.

Properties
- M_tot (Bohr magnetons per cell) = 0.00
- energy of formation from the pure elements (eV per atom) = -0.36
- crystal system = triclinic
- N(E_F) (states/eV per atom) = 1.01

Cell lengths 4.614, 4.623, 8.037 Å; angles 90.34, 106.66, 99.41 degrees
Fractional positions:
Al (0.248, 0.127, 0.290)
Al (0.752, 0.873, 0.710)
Rh (0.246, 0.621, 0.458)
Rh (0.248, 0.630, 0.126)
Rh (0.249, 0.126, 0.625)
Rh (0.251, 0.626, 0.790)
Rh (0.253, 0.130, 0.957)
Rh (0.747, 0.870, 0.043)
Rh (0.749, 0.374, 0.210)
Rh (0.751, 0.874, 0.375)
Rh (0.752, 0.370, 0.874)
Rh (0.754, 0.379, 0.542)

Record 5
First-principles (SCAN) data for a PBEsol-optimized structure of ZrSnRh, as listed in Alexandria via LeMat-Bulk.

Properties
- M_tot (Bohr magnetons per cell) = 0.00
- energy of formation from the pure elements (eV per atom) = -0.91
- crystal system = hexagonal
- N(E_F) (states/eV per atom) = 0.24

Cell lengths 7.296, 7.296, 3.617 Å; angles 90.00, 90.00, 120.00 degrees
Fractional positions:
Zr (0.000, 0.397, 0.000)
Zr (0.397, 0.000, 0.000)
Zr (0.603, 0.603, 0.000)
Sn (0.000, 0.732, 0.500)
Sn (0.268, 0.268, 0.500)
Sn (0.732, 0.000, 0.500)
Rh (0.000, 0.000, 0.000)
Rh (0.333, 0.667, 0.500)
Rh (0.667, 0.333, 0.500)

Record 6
First-principles (SCAN) data for a PBEsol-optimized structure of LiAg2Sb2, as listed in Alexandria via LeMat-Bulk.

Properties
- uncorrected formation energy (eV/atom) = 0.085
- M_tot (Bohr magnetons per cell) = 0.00
- crystal system = tetragonal
- N(E_F) (states/eV per atom) = 0.40

Cell lengths 5.986, 5.986, 5.986 Å; angles 129.42, 129.42, 74.34 degrees
Fractional positions:
Li (0.000, 0.000, 0.000)
Ag (0.358, 0.358, 0.000)
Ag (0.642, 0.642, 0.000)
Sb (0.250, 0.750, 0.500)
Sb (0.750, 0.250, 0.500)

Record 7
First-principles (SCAN) data for a PBEsol-optimized structure of RbNi3F, as listed in Alexandria via LeMat-Bulk.

Properties
- uncorrected formation energy (eV/atom) = 2.222
- M_tot (Bohr magnetons per cell) = 1.13
- crystal system = cubic
- N(E_F) (states/eV per atom) = 0.99

Cell lengths 4.531, 4.531, 4.531 Å; angles 90.00, 90.00, 90.00 degrees
Fractional positions:
Rb (0.000, 0.000, 0.000)
Ni (0.000, 0.000, 0.500)
Ni (0.000, 0.500, 0.000)
Ni (0.500, 0.000, 0.000)
F (0.500, 0.500, 0.500)

Record 8
First-principles (SCAN) data for a PBEsol-optimized structure of HoHg3, as listed in Alexandria via LeMat-Bulk.

Properties
- M_tot (Bohr magnetons per cell) = 0.00
- energy of formation from the pure elements (eV per atom) = -0.47
- crystal system = hexagonal
- N(E_F) (states/eV per atom) = 0.44

Cell lengths 6.495, 6.495, 4.865 Å; angles 90.00, 90.00, 120.00 degrees
Fractional positions:
Ho (0.333, 0.667, 0.250)
Ho (0.667, 0.333, 0.750)
Hg (0.166, 0.332, 0.750)
Hg (0.166, 0.834, 0.750)
Hg (0.332, 0.166, 0.250)
Hg (0.668, 0.834, 0.750)
Hg (0.834, 0.166, 0.250)
Hg (0.834, 0.668, 0.250)

Record 9
First-principles (SCAN) data for a PBEsol-optimized structure of K2TcBr, as listed in Alexandria via LeMat-Bulk.

Properties
- uncorrected formation energy (eV/atom) = 0.367
- M_tot (Bohr magnetons per cell) = 4.00
- offset from the most stable computed form (eV/f.u.) = 0.634
- crystal system = orthorhombic

Cell lengths 5.984, 5.984, 5.984 Å; angles 129.37, 121.23, 81.21 degrees
Fractional positions:
K (0.233, 0.233, 0.000)
K (0.767, 0.767, 0.000)
Tc (0.500, 0.000, 0.500)
Br (0.000, 0.500, 0.500)

Record 10
First-principles (SCAN) data for a PBEsol-optimized structure of KZr2Pb, as listed in Alexandria via LeMat-Bulk.

Properties
- M_tot (Bohr magnetons per cell) = 1.38
- energy of formation from the pure elements (eV per atom) = 0.46
- crystal system = orthorhombic
- N(E_F) (states/eV per atom) = 1.10

Cell lengths 3.231, 5.555, 5.635 Å; angles 90.00, 90.00, 90.00 degrees
Fractional positions:
K (0.000, 0.000, 0.000)
Zr (0.000, 0.500, 0.500)
Zr (0.500, 0.000, 0.500)
Pb (0.500, 0.500, 0.000)

Record 11
First-principles (SCAN) data for a PBEsol-optimized structure of Ce2FeSe2O2, as listed in Alexandria via LeMat-Bulk.

Properties
- uncorrected formation energy (eV/atom) = -2.398
- M_tot (Bohr magnetons per cell) = 2.00
- crystal system = monoclinic
- N(E_F) (states/eV per atom) = 0.50

Cell lengths 5.816, 5.816, 6.909 Å; angles 119.78, 119.78, 38.66 degrees
Fractional positions:
Ce (0.192, 0.192, 0.241)
Ce (0.808, 0.808, 0.759)
Fe (0.000, 0.000, 0.500)
Se (0.443, 0.443, 0.184)
Se (0.557, 0.557, 0.816)
O (0.202, 0.202, 0.585)
O (0.798, 0.798, 0.415)

Record 12
First-principles (SCAN) data for a PBEsol-optimized structure of SbTeOs2, as listed in Alexandria via LeMat-Bulk.

Properties
- uncorrected formation energy (eV/atom) = 0.948
- M_tot (Bohr magnetons per cell) = 0.00
- offset from the most stable computed form (eV/f.u.) = 0.275
- crystal system = orthorhombic
- N(E_F) (states/eV per atom) = 0.97

Cell lengths 2.979, 2.979, 10.230 Å; angles 90.00, 90.00, 120.02 degrees
Fractional positions:
Sb (0.000, 0.000, 0.000)
Te (0.500, 0.500, 0.341)
Os (0.000, 0.000, 0.568)
Os (0.500, 0.500, 0.773)

Record 13
First-principles (SCAN) data for a PBEsol-optimized structure of SrYCd2, as listed in Alexandria via LeMat-Bulk.

Properties
- M_tot (Bohr magnetons per cell) = 0.00
- energy of formation from the pure elements (eV per atom) = -0.45
- crystal system = tetragonal
- N(E_F) (states/eV per atom) = 0.63

Cell lengths 3.807, 3.807, 7.679 Å; angles 90.00, 90.00, 90.00 degrees
Fractional positions:
Sr (0.000, 0.000, 0.000)
Y (0.000, 0.000, 0.500)
Cd (0.500, 0.500, 0.282)
Cd (0.500, 0.500, 0.718)

Record 14
First-principles (SCAN) data for a PBEsol-optimized structure of Mn3SeN, as listed in Alexandria via LeMat-Bulk.

Properties
- uncorrected formation energy (eV/atom) = -0.159
- M_tot (Bohr magnetons per cell) = 9.25
- crystal system = cubic
- N(E_F) (states/eV per atom) = 0.87

Cell lengths 3.822, 3.822, 3.822 Å; angles 90.00, 90.00, 90.00 degrees
Fractional positions:
Mn (0.000, 0.000, 0.500)
Mn (0.000, 0.500, 0.000)
Mn (0.500, 0.000, 0.000)
Se (0.500, 0.500, 0.500)
N (0.000, 0.000, 0.000)

Record 15
First-principles (SCAN) data for a PBEsol-optimized structure of SrSiTe, as listed in Alexandria via LeMat-Bulk.

Properties
- uncorrected formation energy (eV/atom) = -0.137
- M_tot (Bohr magnetons per cell) = 0.00
- offset from the most stable computed form (eV/f.u.) = 0.771
- crystal system = cubic
- N(E_F) (states/eV per atom) = 0.82

Cell lengths 5.064, 5.064, 5.064 Å; angles 60.00, 60.00, 60.00 degrees
Fractional positions:
Sr (0.000, 0.000, 0.000)
Si (0.750, 0.750, 0.750)
Te (0.500, 0.500, 0.500)

Record 16
First-principles (SCAN) data for a PBEsol-optimized structure of MgZr2Br, as listed in Alexandria via LeMat-Bulk.

Properties
- uncorrected formation energy (eV/atom) = -0.066
- M_tot (Bohr magnetons per cell) = 0.00
- offset from the most stable computed form (eV/f.u.) = 0.000
- crystal system = monoclinic
- N(E_F) (states/eV per atom) = 0.75

Cell lengths 5.714, 5.714, 5.264 Å; angles 111.05, 111.05, 32.93 degrees
Fractional positions:
Mg (0.000, 0.000, 0.000)
Zr (0.537, 0.537, 0.525)
Zr (0.784, 0.784, 0.336)
Br (0.244, 0.244, 0.856)

Record 17
First-principles (SCAN) data for a PBEsol-optimized structure of TaCrCl, as listed in Alexandria via LeMat-Bulk.

Properties
- uncorrected formation energy (eV/atom) = 0.127
- M_tot (Bohr magnetons per cell) = 3.28
- offset from the most stable computed form (eV/f.u.) = 0.377
- crystal system = tetragonal
- N(E_F) (states/eV per atom) = 0.39

Cell lengths 6.178, 6.178, 6.178 Å; angles 152.62, 152.62, 39.11 degrees
Fractional positions:
Ta (0.000, 0.000, 0.000)
Cr (0.652, 0.652, 0.000)
Cl (0.351, 0.351, 0.000)

Record 18
First-principles (SCAN) data for a PBEsol-optimized structure of CaHo2S4, as listed in Alexandria via LeMat-Bulk.

Properties
- uncorrected formation energy (eV/atom) = -2.388
- M_tot (Bohr magnetons per cell) = 0.00
- offset from the most stable computed form (eV/f.u.) = 0.000
- crystal system = orthorhombic
- N(E_F) (states/eV per atom) = 0.00

Cell lengths 12.756, 3.839, 12.918 Å; angles 90.00, 90.00, 90.00 degrees
Fractional positions:
Ca (0.132, 0.250, 0.082)
Ca (0.368, 0.750, 0.582)
Ca (0.632, 0.250, 0.418)
Ca (0.868, 0.750, 0.918)
Ho (0.106, 0.750, 0.415)
Ho (0.146, 0.750, 0.798)
Ho (0.354, 0.250, 0.298)
Ho (0.394, 0.250, 0.915)
Ho (0.606, 0.750, 0.085)
Ho (0.646, 0.750, 0.702)
Ho (0.854, 0.250, 0.202)
Ho (0.894, 0.250, 0.585)
S (0.028, 0.250, 0.882)
S (0.036, 0.750, 0.617)
S (0.218, 0.750, 0.236)
S (0.242, 0.250, 0.474)
S (0.258, 0.750, 0.974)
S (0.282, 0.250, 0.736)
S (0.464, 0.250, 0.117)
S (0.472, 0.750, 0.382)
S (0.528, 0.250, 0.618)
S (0.536, 0.750, 0.883)
S (0.718, 0.750, 0.264)
S (0.742, 0.250, 0.026)
S (0.758, 0.750, 0.526)
S (0.782, 0.250, 0.764)
S (0.964, 0.250, 0.383)
S (0.972, 0.750, 0.118)

Record 19
First-principles (SCAN) data for a PBEsol-optimized structure of Sc2TaTe, as listed in Alexandria via LeMat-Bulk.

Properties
- uncorrected formation energy (eV/atom) = -0.146
- M_tot (Bohr magnetons per cell) = 1.64
- offset from the most stable computed form (eV/f.u.) = 0.058
- crystal system = tetragonal
- N(E_F) (states/eV per atom) = 0.83

Cell lengths 3.612, 3.612, 6.266 Å; angles 90.00, 90.00, 90.00 degrees
Fractional positions:
Sc (0.000, 0.000, 0.000)
Sc (0.500, 0.500, 0.270)
Ta (0.000, 0.000, 0.524)
Te (0.500, 0.500, 0.752)

Record 20
First-principles (SCAN) data for a PBEsol-optimized structure of YMnOs, as listed in Alexandria via LeMat-Bulk.

Properties
- M_tot (Bohr magnetons per cell) = 2.62
- offset from the most stable computed form (eV/f.u.) = 0.814
- energy of formation from the pure elements (eV per atom) = 0.47
- crystal system = trigonal
- N(E_F) (states/eV per atom) = 1.02

Cell lengths 2.934, 2.934, 6.796 Å; angles 90.00, 90.00, 120.00 degrees
Fractional positions:
Y (0.000, 0.000, 0.000)
Mn (0.667, 0.333, 0.637)
Os (0.333, 0.667, 0.367)

Record 21
First-principles (SCAN) data for a PBEsol-optimized structure of Mg3PbI, as listed in Alexandria via LeMat-Bulk.

Properties
- uncorrected formation energy (eV/atom) = -0.018
- M_tot (Bohr magnetons per cell) = 0.00
- crystal system = cubic
- N(E_F) (states/eV per atom) = 0.52

Cell lengths 5.529, 5.529, 5.529 Å; angles 90.00, 90.00, 90.00 degrees
Fractional positions:
Mg (0.000, 0.000, 0.500)
Mg (0.000, 0.500, 0.000)
Mg (0.500, 0.000, 0.000)
Pb (0.000, 0.000, 0.000)
I (0.500, 0.500, 0.500)

Record 22
First-principles (SCAN) data for a PBEsol-optimized structure of Ca2TaInO6, as listed in Alexandria via LeMat-Bulk.

Properties
- uncorrected formation energy (eV/atom) = -2.961
- M_tot (Bohr magnetons per cell) = 0.00
- crystal system = monoclinic
- N(E_F) (states/eV per atom) = 0.00

Cell lengths 5.501, 5.714, 9.613 Å; angles 90.00, 124.68, 90.00 degrees
Fractional positions:
Ca (0.231, 0.055, 0.247)
Ca (0.231, 0.445, 0.747)
Ca (0.769, 0.555, 0.253)
Ca (0.769, 0.945, 0.753)
Ta (0.500, 0.000, 0.000)
Ta (0.500, 0.500, 0.500)
In (0.000, 0.000, 0.500)
In (0.000, 0.500, 0.000)
O (0.155, 0.190, 0.948)
O (0.155, 0.310, 0.448)
O (0.253, 0.713, 0.938)
O (0.253, 0.787, 0.438)
O (0.370, 0.042, 0.761)
O (0.370, 0.458, 0.261)
O (0.630, 0.542, 0.739)
O (0.630, 0.958, 0.239)
O (0.747, 0.213, 0.562)
O (0.747, 0.287, 0.062)
O (0.845, 0.690, 0.552)
O (0.845, 0.810, 0.052)

Record 23
First-principles (SCAN) data for a PBEsol-optimized structure of Nb3SnS, as listed in Alexandria via LeMat-Bulk.

Properties
- uncorrected formation energy (eV/atom) = 1.899
- M_tot (Bohr magnetons per cell) = 3.87
- crystal system = cubic
- N(E_F) (states/eV per atom) = 1.27

Cell lengths 5.015, 5.015, 5.015 Å; angles 90.00, 90.00, 90.00 degrees
Fractional positions:
Nb (0.000, 0.000, 0.500)
Nb (0.000, 0.500, 0.000)
Nb (0.500, 0.000, 0.000)
Sn (0.000, 0.000, 0.000)
S (0.500, 0.500, 0.500)

Record 24
First-principles (SCAN) data for a PBEsol-optimized structure of SiPS2, as listed in Alexandria via LeMat-Bulk.

Properties
- uncorrected formation energy (eV/atom) = 0.136
- M_tot (Bohr magnetons per cell) = 0.00
- offset from the most stable computed form (eV/f.u.) = 0.000
- crystal system = trigonal
- N(E_F) (states/eV per atom) = 0.34

Cell lengths 7.673, 7.673, 7.673 Å; angles 24.81, 24.81, 24.81 degrees
Fractional positions:
Si (0.000, 0.000, 0.000)
P (0.500, 0.500, 0.500)
S (0.394, 0.394, 0.394)
S (0.606, 0.606, 0.606)